No. 1
Below is an optimized crystal structure of H8Ir2Pb, with properties calculated at the PBE level.

- E_tot: -4.2873 eV/atom
- Space-group type: P-1, No. 2
- Magnetic moment: 0.0 Bohr magnetons per cell

Cell lengths 3.5333, 5.3807, 5.8429 Å; angles 90.29, 90.13, 90.13 degrees
Positions (direct):
H (0.0003, 0.0708, 0.3277)
H (0.9997, 0.9292, 0.6723)
H (0.0012, 0.3508, 0.8713)
H (0.0018, 0.5663, 0.6511)
H (0.5002, 0.2695, 0.5948)
H (0.4998, 0.7305, 0.4052)
H (0.9982, 0.4337, 0.3489)
H (0.9988, 0.6492, 0.1287)
Ir (0.0002, 0.2459, 0.6086)
Ir (0.9998, 0.7541, 0.3914)
Pb (0.5000, 0.0000, 0.0000)

No. 2
Below is an optimized crystal structure of GePHCl2, with properties calculated at the PBE level.

- E_tot: -2.8540 eV/atom
- Space-group type: P4/mmm, No. 123
- Magnetic moment: 3.0 Bohr magnetons per cell

Cell lengths 5.0979, 5.0979, 4.9307 Å; angles 90.00, 90.00, 90.00 degrees
Positions (direct):
Ge (0.0000, 0.0000, 0.0000)
P (0.0000, 0.0000, 0.5000)
H (0.5000, 0.5000, 0.5000)
Cl (0.0000, 0.5000, 0.0000)
Cl (0.5000, 0.0000, 0.0000)

No. 3
Below is an optimized crystal structure of Hf2ZrAl, with properties calculated at the PBE level.

- E_tot: -7.8219 eV/atom
- Space-group type: I-42d, No. 122
- Magnetic moment: 0.0 Bohr magnetons per cell

Cell lengths 10.7655, 10.7655, 10.7655 Å; angles 157.90, 157.90, 31.45 degrees
Positions (direct):
Hf (0.1236, 0.6250, 0.9986)
Hf (0.3750, 0.3736, 0.4986)
Hf (0.6264, 0.1250, 0.0014)
Hf (0.8750, 0.8764, 0.5014)
Zr (0.2500, 0.7500, 0.5000)
Zr (0.5000, 0.5000, 0.0000)
Al (0.0000, 0.0000, 0.0000)
Al (0.7500, 0.2500, 0.5000)

No. 4
Below is an optimized crystal structure of La3Tb2NdSm6, with properties calculated at the PBE level.

- E_tot: -4.7426 eV/atom
- Space-group type: C2/m, No. 12
- Magnetic moment: 0.0 Bohr magnetons per cell

Cell lengths 6.3293, 6.3293, 12.1167 Å; angles 95.02, 95.02, 120.04 degrees
Positions (direct):
La (0.0000, 0.0000, 0.0000)
La (0.3329, 0.6671, 0.0000)
La (0.6671, 0.3329, 0.0000)
Tb (0.1668, 0.8332, 0.5000)
Tb (0.8332, 0.1668, 0.5000)
Nd (0.5000, 0.5000, 0.5000)
Sm (0.0840, 0.4182, 0.2542)
Sm (0.2477, 0.2477, 0.7458)
Sm (0.4182, 0.0840, 0.2542)
Sm (0.5818, 0.9160, 0.7458)
Sm (0.7523, 0.7523, 0.2542)
Sm (0.9160, 0.5818, 0.7458)

No. 5
Below is an optimized crystal structure of CaRe, with properties calculated at the PBE level.

- E_tot: -6.7528 eV/atom
- Space-group type: C2/m, No. 12
- Magnetic moment: 0.0 Bohr magnetons per cell

Cell lengths 5.2110, 5.2110, 9.5028 Å; angles 108.84, 108.84, 36.05 degrees
Positions (direct):
Ca (0.0000, 0.0000, 0.0000)
Ca (0.3222, 0.3222, 0.2307)
Ca (0.6778, 0.6778, 0.7693)
Re (0.0000, 0.0000, 0.5000)
Re (0.3393, 0.3393, 0.5882)
Re (0.6607, 0.6607, 0.4118)

No. 6
Below is an optimized crystal structure of La2NiRh, with properties calculated at the PBE level.

- E_tot: -5.9986 eV/atom
- Space-group type: F-43m, No. 216
- Magnetic moment: 0.0 Bohr magnetons per cell

Cell lengths 4.8663, 4.8663, 4.8663 Å; angles 60.00, 60.00, 60.00 degrees
Positions (direct):
La (0.0000, 0.0000, 0.0000)
La (0.2500, 0.2500, 0.2500)
Ni (0.7500, 0.7500, 0.7500)
Rh (0.5000, 0.5000, 0.5000)

No. 7
Below is an optimized crystal structure of Sr2ScPt, with properties calculated at the PBE level.

- E_tot: -3.9106 eV/atom
- Space-group type: I-4m2, No. 119
- Magnetic moment: 0.6 Bohr magnetons per cell

Cell lengths 6.2565, 6.2565, 6.2565 Å; angles 136.60, 136.60, 63.05 degrees
Positions (direct):
Sr (0.0000, 0.0000, 0.0000)
Sr (0.7500, 0.2500, 0.5000)
Sc (0.5000, 0.5000, 0.0000)
Pt (0.2500, 0.7500, 0.5000)

No. 8
Below is an optimized crystal structure of VCdSeCl2, with properties calculated at the PBE level.

- E_tot: -3.3673 eV/atom
- Space-group type: P4/mmm, No. 123
- Magnetic moment: 3.0 Bohr magnetons per cell

Cell lengths 4.9608, 4.9608, 5.5941 Å; angles 90.00, 90.00, 90.00 degrees
Positions (direct):
V (0.0000, 0.0000, 0.0000)
Cd (0.5000, 0.5000, 0.5000)
Se (0.5000, 0.5000, 0.0000)
Cl (0.0000, 0.5000, 0.5000)
Cl (0.5000, 0.0000, 0.5000)

No. 9
Below is an optimized crystal structure of Pu2H4Rh, with properties calculated at the PBE level.

- E_tot: -7.4606 eV/atom
- Space-group type: I4/mmm, No. 139
- Magnetic moment: 10.6 Bohr magnetons per cell

Cell lengths 6.9737, 6.9737, 6.9737 Å; angles 150.58, 150.58, 42.09 degrees
Positions (direct):
Pu (0.1358, 0.1358, 0.0000)
Pu (0.8642, 0.8642, 0.0000)
H (0.2500, 0.7500, 0.5000)
H (0.3673, 0.3673, 0.0000)
H (0.6327, 0.6327, 0.0000)
H (0.7500, 0.2500, 0.5000)
Rh (0.5000, 0.5000, 0.0000)

No. 10
Below is an optimized crystal structure of CeNd2Er5, with properties calculated at the PBE level.

- E_tot: -4.7377 eV/atom
- Space-group type: I4/mmm, No. 139
- Magnetic moment: 0.9 Bohr magnetons per cell

Cell lengths 10.5884, 10.5884, 10.5884 Å; angles 152.44, 152.44, 39.37 degrees
Positions (direct):
Ce (0.0000, 0.0000, 0.0000)
Nd (0.2478, 0.2478, 0.0000)
Nd (0.7522, 0.7522, 0.0000)
Er (0.1217, 0.6217, 0.5000)
Er (0.3783, 0.8783, 0.5000)
Er (0.5000, 0.5000, 0.0000)
Er (0.6217, 0.1217, 0.5000)
Er (0.8783, 0.3783, 0.5000)

No. 11
Below is an optimized crystal structure of HfHg2AsPt, with properties calculated at the PBE level.

- E_tot: -3.3806 eV/atom
- Space-group type: P4/mmm, No. 123
- Magnetic moment: 0.6 Bohr magnetons per cell

Cell lengths 5.4858, 5.4858, 4.9256 Å; angles 90.00, 90.00, 90.00 degrees
Positions (direct):
Hf (0.0000, 0.0000, 0.0000)
Hg (0.0000, 0.5000, 0.0000)
Hg (0.5000, 0.0000, 0.0000)
As (0.5000, 0.5000, 0.5000)
Pt (0.0000, 0.0000, 0.5000)

No. 12
Below is an optimized crystal structure of CdAs2RuO8, with properties calculated at the PBE level.

- E_tot: -5.7458 eV/atom
- Space-group type: I-4m2, No. 119
- Magnetic moment: 4.0 Bohr magnetons per cell

Cell lengths 5.8431, 5.8431, 5.8431 Å; angles 107.02, 107.02, 114.49 degrees
Positions (direct):
Cd (0.0000, 0.0000, 0.0000)
As (0.5000, 0.5000, 0.0000)
As (0.7500, 0.2500, 0.5000)
Ru (0.2500, 0.7500, 0.5000)
O (0.3219, 0.1299, 0.8080)
O (0.3219, 0.5139, 0.1920)
O (0.3828, 0.0622, 0.3206)
O (0.4861, 0.6781, 0.8080)
O (0.7416, 0.0622, 0.6794)
O (0.8701, 0.6781, 0.1920)
O (0.9378, 0.2584, 0.3206)
O (0.9378, 0.6172, 0.6794)